(1)
A geometry-optimized Mg2CuP structure. Source: Alexandria, functional PBE.

Computed properties:
Energy ... -3.317 eV per atom
Calculated formation energy ... -144 meV per atom

```
Mg2CuP
1.0
-4.159 3.300 1.463
-1.076 1.136 5.280
4.162 -0.039 -3.606
Cu Mg P
1 2 1
Cartesian
0.007 1.851 2.816
-1.280 2.716 0.579
-0.035 0.030 0.045
-2.382 2.019 3.068
```

=====

(2)
A geometry-optimized Ca2PmF8 structure. Source: Alexandria, functional PBE.

Computed properties:
Energy ... -5.725 eV per atom
ΔE_f (raw) ... -3.57 eV per atom
ΔE to the lowest computed polymorph ... 0 meV per atom

```
Ca2PmF8
1.0
3.945 0.000 0.000
0.000 5.635 0.020
-1.973 -2.394 6.558
Pm F Ca
1 8 2
Cartesian
1.973 0.000 0.000
1.973 4.679 2.187
1.973 2.018 1.287
1.973 -1.141 6.179
0.000 0.805 2.899
0.000 1.223 5.291
0.000 4.382 0.399
1.973 2.435 3.679
0.000 -1.438 4.391
1.973 0.178 4.218
0.000 3.063 2.360
```

=====

(3)
A geometry-optimized AcPr6Sm12 structure. Source: Alexandria, functional PBE.

Computed properties:
Energy ... -4.514 eV per atom
ΔE to the lowest computed polymorph ... 20 meV per atom
Calculated formation energy ... 192 meV per atom

```
AcPr6Sm12
1.0
8.880 -0.220 -1.276
-1.440 8.765 -1.276
-0.192 -0.220 8.969
Sm Pr Ac
12 6 1
Cartesian
2.631 3.021 -0.185
4.273 7.775 3.784
2.974 0.549 2.634
0.956 6.485 3.209
7.113 5.303 3.784
3.947 1.839 5.857
3.301 6.485 0.561
6.292 1.839 3.209
5.969 4.162 0.561
4.617 5.303 6.603
1.279 4.162 5.857
0.135 3.021 2.634
-0.071 5.691 -0.063
7.319 2.633 6.481
5.647 0.713 -0.063
0.621 0.713 5.613
6.627 7.611 0.805
1.601 7.611 6.481
0.000 0.000 0.000
```

=====

(4)
A geometry-optimized CsLiInF6 structure. Source: Alexandria, functional PBE.

Computed properties:
Energy ... -4.234 eV per atom
ΔE_f (raw) ... -2.37 eV per atom

```
CsLiInF6
1.0
7.862 0.000 0.000
0.000 7.207 0.000
-3.931 -3.603 5.445
F Cs In Li
12 2 2 2
Cartesian
0.000 5.405 1.834
2.449 -0.310 1.365
0.000 1.802 4.521
5.413 3.914 1.365
2.449 3.914 1.365
1.482 3.914 4.080
5.413 -0.310 1.365
-1.482 -0.310 4.080
-1.482 3.914 4.080
3.931 1.802 0.924
1.482 -0.310 4.080
3.931 -1.802 3.611
0.000 1.802 1.465
3.931 1.802 3.979
-1.965 -1.802 2.722
1.965 -1.802 2.722
3.931 3.603 0.000
3.931 0.000 0.000
```

=====

(5)
A geometry-optimized TiReGe2O structure. Source: Alexandria, functional PBE.

Computed properties:
Energy ... -6.773 eV per atom
ΔE_f (raw) ... 0.13 eV per atom

```
TiReGe2O
1.0
-1.298 0.316 -4.795
-3.465 -0.893 0.879
-1.087 4.819 0.612
Ti O Ge Re
1 1 2 1
Cartesian
-2.925 2.121 -1.652
-1.733 -0.447 0.439
-0.544 2.410 0.306
-0.649 0.158 -2.398
0.000 0.000 0.000
```

=====

(6)
A geometry-optimized TlZn2Cl structure. Source: Alexandria, functional PBE.

Computed properties:
Energy ... -1.833 eV per atom
ΔE_f (raw) ... -0.14 eV per atom
ΔE to the lowest computed polymorph ... 92 meV per atom

```
TlZn2Cl
1.0
-2.025 3.351 -1.574
-4.001 -5.071 -0.117
-2.551 0.179 3.414
Zn Cl Tl
2 1 1
Cartesian
-2.288 1.765 0.920
0.000 0.000 0.000
-3.276 -2.446 1.649
-3.013 -0.860 -0.845
```